DFT (GGA-PBE) results for a geometry-optimized FeIr4Ru structure.

Unit cell a=2.732 b=14.054 c=8.778 alpha=90.00 beta=90.00 gamma=90.00
Space group Cmc2_1 (No. 36)
Symmetry-distinct sites (fractional):
1 Fe 0.000 0.166 0.000 (multiplicity 4)
2 Ir 0.000 0.057 0.246 (multiplicity 4)
3 Ir 0.000 0.172 0.499 (multiplicity 4)
4 Ir 0.000 0.386 0.254 (multiplicity 4)
5 Ir 0.000 0.499 0.498 (multiplicity 4)
6 Ru 0.000 0.278 0.749 (multiplicity 4)

Computed properties:
ρ: 18.2 Mg/m³
Uncorrected energy: -8.8655 eV per atom
E_form: -0.01 eV/f.u.
Magnetic moment: 2.200 μB per formula unit